Entry 1:
{
  "formula": "TbNi12Sn6",
  "functional": "PBE",
  "state": "relaxed",
  "sg": "R-3m, No. 166",
  "formation_energy_ev_per_atom": -0.06,
  "n_ef_per_ev_atom": 0.62,
  "lattice_angstrom": [[-4.803, -5.063, 0.103], [3.062, -0.884, -6.210], [4.828, -2.342, 4.464]],
  "species": ["Ni", "Ni", "Ni", "Ni", "Ni", "Ni", "Ni", "Ni", "Ni", "Ni", "Ni", "Ni", "Sn", "Sn", "Sn", "Sn", "Sn", "Sn", "Tb"],
  "frac_coords": [[0.500, 0.890, 0.110], [0.348, 0.348, 0.109], [0.110, 0.890, 0.500], [0.891, 0.652, 0.652], [0.348, 0.109, 0.348], [0.890, 0.110, 0.500], [0.109, 0.348, 0.348], [0.110, 0.500, 0.890], [0.890, 0.500, 0.110], [0.652, 0.891, 0.652], [0.652, 0.652, 0.891], [0.500, 0.110, 0.890], [0.272, 0.272, 0.692], [0.728, 0.308, 0.728], [0.728, 0.728, 0.308], [0.308, 0.728, 0.728], [0.272, 0.692, 0.272], [0.692, 0.272, 0.272], [0.000, 0.000, 0.000]]
}


Entry 2:
{
  "formula": "Pm2Nd4Y2Er",
  "functional": "PBE",
  "state": "relaxed",
  "sg": "C2/m, No. 12",
  "formation_energy_ev_per_atom": 0.01,
  "n_ef_per_ev_atom": 1.32,
  "lattice_angstrom": [[-2.704, 2.216, -1.116], [-4.072, -8.666, -1.305], [-0.760, 3.616, 9.017]],
  "species": ["Y", "Y", "Nd", "Nd", "Nd", "Nd", "Er", "Pm", "Pm"],
  "frac_coords": [[0.852, 0.704, 0.332], [0.148, 0.296, 0.668], [0.815, 0.629, 0.668], [0.518, 0.036, 0.332], [0.185, 0.371, 0.332], [0.482, 0.964, 0.668], [0.000, 0.000, 0.000], [0.666, 0.331, 0.999], [0.334, 0.669, 0.001]]
}


Repeat the second record exactly.
{
  "formula": "Pm2Nd4Y2Er",
  "functional": "PBE",
  "state": "relaxed",
  "sg": "C2/m, No. 12",
  "formation_energy_ev_per_atom": 0.01,
  "n_ef_per_ev_atom": 1.32,
  "lattice_angstrom": [[-2.704, 2.216, -1.116], [-4.072, -8.666, -1.305], [-0.760, 3.616, 9.017]],
  "species": ["Y", "Y", "Nd", "Nd", "Nd", "Nd", "Er", "Pm", "Pm"],
  "frac_coords": [[0.852, 0.704, 0.332], [0.148, 0.296, 0.668], [0.815, 0.629, 0.668], [0.518, 0.036, 0.332], [0.185, 0.371, 0.332], [0.482, 0.964, 0.668], [0.000, 0.000, 0.000], [0.666, 0.331, 0.999], [0.334, 0.669, 0.001]]
}


Repeat the second record exactly.
{
  "formula": "Pm2Nd4Y2Er",
  "functional": "PBE",
  "state": "relaxed",
  "sg": "C2/m, No. 12",
  "formation_energy_ev_per_atom": 0.01,
  "n_ef_per_ev_atom": 1.32,
  "lattice_angstrom": [[-2.704, 2.216, -1.116], [-4.072, -8.666, -1.305], [-0.760, 3.616, 9.017]],
  "species": ["Y", "Y", "Nd", "Nd", "Nd", "Nd", "Er", "Pm", "Pm"],
  "frac_coords": [[0.852, 0.704, 0.332], [0.148, 0.296, 0.668], [0.815, 0.629, 0.668], [0.518, 0.036, 0.332], [0.185, 0.371, 0.332], [0.482, 0.964, 0.668], [0.000, 0.000, 0.000], [0.666, 0.331, 0.999], [0.334, 0.669, 0.001]]
}